A crystal of Li2CdBi relaxed with PBEsol. Source: Alexandria, functional SCAN.

## Properties
**DFT formation energy**: -0.40 eV per atom
**Symmetry**: Fm-3m (225)

a = 4.833 Å, b = 4.833 Å, c = 4.833 Å
α = 60.00°, β = 60.00°, γ = 60.00°
Atoms (fractional coordinates):
Bi: 0.500 0.500 0.500
Li: 0.250 0.250 0.250
Cd: 0.000 0.000 0.000
Li: 0.750 0.750 0.750

=====

A crystal of MgCd2Bi relaxed with PBEsol. Source: Alexandria, functional SCAN.

## Properties
**DFT formation energy**: 0.00 eV per atom
**Symmetry**: I-42d (122)

a = 4.291 Å, b = 4.291 Å, c = 11.375 Å
α = 100.87°, β = 100.87°, γ = 90.00°
Atoms (fractional coordinates):
Cd: 0.625 0.612 0.750
Cd: 0.388 0.875 0.250
Mg: 0.750 0.250 0.500
Bi: 0.000 0.000 0.000
Mg: 0.500 0.500 0.000
Cd: 0.125 0.138 0.750
Cd: 0.862 0.375 0.250
Bi: 0.250 0.750 0.500

=====

A crystal of Mg2Cd2Bi relaxed with PBEsol. Source: Alexandria, functional SCAN.

## Properties
**DFT formation energy**: -0.07 eV per atom
**Symmetry**: P4/mbm (127)

a = 3.435 Å, b = 8.215 Å, c = 8.215 Å
α = 90.00°, β = 90.00°, γ = 90.00°
Atoms (fractional coordinates):
Bi: 0.000 0.000 0.000
Cd: 0.000 0.875 0.625
Mg: 0.500 0.827 0.327
Cd: 0.000 0.625 0.125
Mg: 0.500 0.173 0.673
Mg: 0.500 0.673 0.827
Bi: 0.000 0.500 0.500
Cd: 0.000 0.375 0.875
Cd: 0.000 0.125 0.375
Mg: 0.500 0.327 0.173

=====

A crystal of Sr2MnCdBi relaxed with PBEsol. Source: Alexandria, functional SCAN.

## Properties
**DFT formation energy**: -0.02 eV per atom
**Symmetry**: P4/mmm (123)

a = 4.982 Å, b = 5.815 Å, c = 5.815 Å
α = 90.00°, β = 90.00°, γ = 90.00°
Each line ends with the local moment (μB).
Atoms (fractional coordinates):
Mn: 0.000 0.000 0.000  3.08
Bi: 0.500 0.000 0.000  -0.04
Cd: 0.500 0.500 0.500  0.00
Sr: 0.000 0.000 0.500  -0.04
Sr: 0.000 0.500 0.000  -0.04

=====

A crystal of CdBiN2 relaxed with PBEsol. Source: Alexandria, functional SCAN.

## Properties
**Symmetry**: I-42d (122)
**Energy relative to the elements, uncorrected**: 68.7 kJ/mol of atoms

a = 5.190 Å, b = 5.190 Å, c = 6.391 Å
α = 113.95°, β = 113.95°, γ = 90.00°
Atoms (fractional coordinates):
Bi: 0.000 0.000 0.000
N: 0.625 0.632 0.750
N: 0.368 0.875 0.250
N: 0.125 0.118 0.750
Cd: 0.500 0.500 0.000
N: 0.882 0.375 0.250
Cd: 0.750 0.250 0.500
Bi: 0.250 0.750 0.500

=====

A crystal of CdBiSN2 relaxed with PBEsol. Source: Alexandria, functional SCAN.

## Properties
**Symmetry**: P4/mmm (123)
**Energy relative to the elements, uncorrected**: 135.6 kJ/mol of atoms

a = 4.230 Å, b = 4.230 Å, c = 5.475 Å
α = 90.00°, β = 90.00°, γ = 90.00°
Each line ends with the local moment (μB).
Atoms (fractional coordinates):
N: 0.000 0.500 0.000  0.60
N: 0.500 0.000 0.000  0.60
Cd: 0.500 0.500 0.500  -0.01
S: 0.000 0.000 0.500  -0.01
Bi: 0.000 0.000 0.000  -0.09

=====

| no. | M_tot (μB/f.u.) | DFT total energy (eV for the cell shown) |
| --- | --- | --- |
| 1 | 0.00 | -115.39 |
| 2 | 0.00 | -288.80 |
| 3 | 0.00 | -299.39 |
| 4 | 2.97 | -171.90 |
| 5 | 0.00 | -249.46 |
| 6 | 1.56 | -130.18 |